Density functional theory data (PBE) for an optimized crystal structure of MnAl2B10.

Computed properties:
ΔE_f	0.174	eV per atom
raw total energy	-81.2	eV per formula unit
crystal system	orthorhombic

a b c (Å): 4.1015 5.7202 11.3551
angles (deg): 90.00 90.00 90.00
Atoms (fractional coordinates):
B: 0.2947 0.2075 0.1161
B: 0.0000 0.8766 0.4598
B: 0.0000 0.6574 0.8023
B: 0.2947 0.7925 0.8839
B: 0.2947 0.7075 0.3839
B: 0.7053 0.2075 0.1161
Al: 0.5000 0.6714 0.5787
B: 0.0000 0.3766 0.0402
B: 0.7053 0.2925 0.6161
B: 0.7053 0.7925 0.8839
B: 0.7053 0.7075 0.3839
Mn: 0.0000 0.5000 0.5000
B: 0.0000 0.6234 0.9598
Al: 0.5000 0.1714 0.9213
B: 0.0000 0.5318 0.3099
B: 0.0000 0.1574 0.6977
B: 0.2947 0.2925 0.6161
Mn: 0.0000 0.0000 0.0000
B: 0.0000 0.0318 0.1901
B: 0.0000 0.4682 0.6901
B: 0.0000 0.8426 0.3023
B: 0.0000 0.9682 0.8099
B: 0.0000 0.3426 0.1977
Al: 0.5000 0.3286 0.4213
B: 0.0000 0.1234 0.5402
Al: 0.5000 0.8286 0.0787